VASP calculation (GGA-PBE) on a geometry-optimized NaSrPd2F8 structure.

Cell and atoms, written as POSCAR:
```
NaSrPd2F8
1.0
5.513 0.000 0.000
0.000 5.513 0.000
-2.757 -2.757 5.421
F Pd Na Sr
8 2 1 1
direct
0.370 0.851 0.247
0.369 0.396 0.247
0.604 0.630 0.753
0.604 0.123 0.753
0.149 0.631 0.753
0.877 0.851 0.247
0.877 0.396 0.247
0.149 0.123 0.753
0.500 0.500 0.000
0.250 0.750 0.500
0.000 0.000 0.000
0.750 0.250 0.500
```

Computed properties:
- E_form (uncorrected) (eV/atom) = -2.008
- spin magnetization (μB/f.u.) = 5.01